Y3BeO6: optimized geometry, PBE.

## Properties
Its space group is Cmc2_1 (36). As for the crystal system: orthorhombic. The calculation puts the uncorrected energy at -8.380 eV/atom.

Cell lengths 5.0550, 7.1953, 7.1953 Å; angles 101.83, 90.00, 90.00 degrees
With the nearest neighbours (Å) after each atom.
Atoms (fractional coordinates):
1 O 0.2102 0.3532 0.3261  4 Y 2.26-2.32
2 O 0.6958 0.2152 0.7848  1 Be 1.64
3 Y 0.4290 0.3867 0.6133  7 O 2.31-2.34
4 O 0.1110 0.0452 0.9548  1 Be 1.76
5 O 0.1958 0.7848 0.2152  1 Be 1.64
6 O 0.7102 0.3261 0.3532  4 Y 2.26-2.32
7 Y 0.4838 0.9275 0.6942  5 O 2.26-2.30
8 O 0.1717 0.1128 0.5968  1 Be 1.67
9 Y 0.9838 0.0725 0.3058  5 O 2.26-2.30
10 Y 0.4838 0.3058 0.0725  5 O 2.26-2.30
11 O 0.2102 0.6739 0.6468  4 Y 2.26-2.32
12 Y 0.9290 0.6133 0.3867  7 O 2.31-2.34
13 O 0.6717 0.5968 0.1128  1 Be 1.67
14 Be 0.5183 0.8028 0.1972  4 O 1.64-1.76
15 O 0.7102 0.6468 0.6739  4 Y 2.26-2.32
16 Y 0.9838 0.6942 0.9275  5 O 2.26-2.30
17 O 0.6717 0.8872 0.4032  1 Be 1.67
18 Be 0.0183 0.1972 0.8028  4 O 1.64-1.76
19 O 0.6110 0.9548 0.0452  1 Be 1.76
20 O 0.1717 0.4032 0.8872  1 Be 1.67

=====

YBe3O: optimized geometry, PBE.

## Properties
Its space group is Pm-3m (221). As for the crystal system: cubic. The calculation puts the uncorrected energy at -2.170 eV/atom.

Cell lengths 5.2634, 5.2634, 5.2634 Å; angles 90.00, 90.00, 90.00 degrees
With the nearest neighbours (Å) after each atom.
Atoms (fractional coordinates):
1 Be 0.0000 0.5000 0.0000  2 Y 2.63
2 Be 0.5000 0.0000 0.0000  2 Y 2.63
3 Be 0.0000 0.0000 0.5000  2 Y 2.63
4 Y 0.0000 0.0000 0.0000  6 Be 2.63
5 O 0.5000 0.5000 0.5000  12 Be 3.72

=====

YBe3O: optimized geometry, PBE.

## Properties
Its space group is Pm-3m (221). As for the crystal system: cubic. The calculation puts the uncorrected energy at -4.413 eV/atom.

Cell lengths 4.0156, 4.0156, 4.0156 Å; angles 90.00, 90.00, 90.00 degrees
With the nearest neighbours (Å) after each atom.
Atoms (fractional coordinates):
1 O 0.0000 0.0000 0.0000  6 Be 2.01
2 Y 0.5000 0.5000 0.5000  12 Be 2.84
3 Be 0.0000 0.0000 0.5000  2 O 2.01
4 Be 0.0000 0.5000 0.0000  2 O 2.01
5 Be 0.5000 0.0000 0.0000  2 O 2.01

=====

Y2BeO4: optimized geometry, PBE.

## Properties
Its space group is P2_1/m (11). As for the crystal system: monoclinic. The calculation puts the uncorrected energy at -8.396 eV/atom.

Cell lengths 5.1043, 5.2681, 6.4035 Å; angles 90.00, 108.68, 90.00 degrees
With the nearest neighbours (Å) after each atom.
Atoms (fractional coordinates):
1 O 0.0862 0.7500 0.9305  1 Be 1.67
2 O 0.5275 0.4875 0.7434  1 Be 1.62
3 Y 0.2227 0.2500 0.4291  6 O 2.27-2.46
4 Be 0.2587 0.7500 0.2009  4 O 1.62-1.67
5 Y 0.7773 0.7500 0.5709  6 O 2.27-2.46
6 Y 0.7036 0.7500 0.0419  6 O 2.24-2.43
7 O 0.9138 0.2500 0.0695  1 Be 1.67
8 Be 0.7413 0.2500 0.7991  4 O 1.62-1.67
9 O 0.9437 0.2500 0.6423  1 Be 1.66
10 O 0.0563 0.7500 0.3577  1 Be 1.66
11 O 0.5275 0.0125 0.7434  1 Be 1.62
12 Y 0.2964 0.2500 0.9581  6 O 2.24-2.43
13 O 0.4725 0.9875 0.2566  1 Be 1.62
14 O 0.4725 0.5125 0.2566  1 Be 1.62

=====

YBeO3: optimized geometry, PBE.

## Properties
Its space group is Pm-3m (221). As for the crystal system: cubic. The calculation puts the uncorrected energy at -7.456 eV/atom.

Cell lengths 3.5430, 3.5430, 3.5430 Å; angles 90.00, 90.00, 90.00 degrees
With the nearest neighbours (Å) after each atom.
Atoms (fractional coordinates):
1 Be 0.0000 0.0000 0.0000  6 O 1.77
2 O 0.5000 0.0000 0.0000  2 Be 1.77
3 O 0.0000 0.0000 0.5000  2 Be 1.77
4 Y 0.5000 0.5000 0.5000  12 O 2.51
5 O 0.0000 0.5000 0.0000  2 Be 1.77

=====

Y12Be3O5: optimized geometry, PBE.

## Properties
Its space group is Ia-3d (230). As for the crystal system: cubic. The calculation puts the uncorrected energy at -7.041 eV/atom.

Cell lengths 13.0890, 13.0890, 13.0890 Å; angles 109.47, 109.47, 109.47 degrees
With the nearest neighbours (Å) after each atom.
Atoms (fractional coordinates):
1 Y 0.1851 0.0904 0.7068  1 O 2.20
2 Y 0.5217 0.2068 0.1164  1 O 2.20
3 O 0.0000 0.5000 0.0000  6 Y 2.49
4 Be 0.1250 0.8750 0.7500  8 Y 2.96-3.00
5 O 0.2500 0.3750 0.6250  4 Y 2.20
6 Be 0.2500 0.6250 0.8750  8 Y 2.96-3.00
7 Y 0.5217 0.3149 0.9052  1 O 2.20
8 Y 0.8836 0.5904 0.9052  1 O 2.20
9 Y 0.1164 0.4096 0.0948  1 O 2.20
10 Y 0.9052 0.0904 0.8836  1 O 2.20
11 O 0.0000 0.5000 0.5000  6 Y 2.49
12 Y 0.0217 0.4052 0.8149  1 O 2.20
13 Y 0.0948 0.9096 0.1164  1 O 2.20
14 O 0.0000 0.0000 0.0000  6 Y 2.49
15 Y 0.4052 0.0217 0.3149  1 O 2.20
16 Y 0.4052 0.3836 0.5904  1 O 2.20
17 Be 0.6250 0.3750 0.7500  8 Y 2.96-3.00
18 O 0.6250 0.7500 0.8750  4 Y 2.20
19 Y 0.4783 0.6851 0.0948  1 O 2.20
20 Y 0.3836 0.9783 0.7932  1 O 2.20
21 O 0.7500 0.6250 0.3750  4 Y 2.20
22 Y 0.1851 0.0948 0.9783  1 O 2.20
23 O 0.1250 0.7500 0.3750  4 Y 2.20
24 Y 0.7068 0.5904 0.1851  1 O 2.20
25 O 0.5000 0.0000 0.5000  6 Y 2.49
26 O 0.3750 0.2500 0.1250  4 Y 2.20
27 Y 0.5948 0.6164 0.4096  1 O 2.20
28 Y 0.8149 0.9096 0.2932  1 O 2.20
29 Be 0.1250 0.2500 0.8750  8 Y 2.96-3.00
30 O 0.5000 0.5000 0.5000  6 Y 2.49
31 Y 0.6851 0.4783 0.5948  1 O 2.20
32 O 0.5000 0.0000 0.0000  6 Y 2.49
33 Be 0.2500 0.1250 0.3750  8 Y 2.96-3.00
34 Be 0.7500 0.8750 0.6250  8 Y 2.96-3.00
35 Be 0.3750 0.6250 0.2500  8 Y 2.96-3.00
36 Y 0.0948 0.1851 0.4783  1 O 2.20
37 O 0.3750 0.1250 0.7500  4 Y 2.20
38 Y 0.9096 0.8149 0.7932  1 O 2.20
39 Y 0.6851 0.2068 0.5904  1 O 2.20
40 Y 0.8149 0.9052 0.0217  1 O 2.20
41 Y 0.5904 0.8836 0.4052  1 O 2.20
42 Be 0.8750 0.1250 0.2500  8 Y 2.96-3.00
43 Y 0.0217 0.6164 0.7068  1 O 2.20
44 Be 0.8750 0.7500 0.1250  8 Y 2.96-3.00
45 O 0.2500 0.8750 0.1250  4 Y 2.20
46 O 0.8750 0.2500 0.6250  4 Y 2.20
47 Y 0.7932 0.3149 0.9096  1 O 2.20
48 Be 0.3750 0.7500 0.6250  8 Y 2.96-3.00
49 Y 0.3149 0.5217 0.4052  1 O 2.20
50 Y 0.3149 0.7932 0.4096  1 O 2.20
51 Y 0.4783 0.7932 0.8836  1 O 2.20
52 Y 0.4096 0.1164 0.5948  1 O 2.20
53 Y 0.2068 0.5217 0.6164  1 O 2.20
54 Y 0.2068 0.6851 0.0904  1 O 2.20
55 Y 0.2932 0.4096 0.8149  1 O 2.20
56 Y 0.3836 0.4052 0.0904  1 O 2.20
57 Y 0.7068 0.1164 0.0217  1 O 2.20
58 Y 0.9783 0.5948 0.1851  1 O 2.20
59 Y 0.0904 0.9052 0.3836  1 O 2.20
60 O 0.0000 0.0000 0.5000  6 Y 2.49
61 Y 0.8836 0.2932 0.4783  1 O 2.20
62 O 0.5000 0.5000 0.0000  6 Y 2.49
63 O 0.1250 0.3750 0.2500  4 Y 2.20
64 O 0.7500 0.1250 0.8750  4 Y 2.20
65 Y 0.9052 0.8149 0.5217  1 O 2.20
66 Y 0.9783 0.3836 0.2932  1 O 2.20
67 Y 0.5948 0.9783 0.6851  1 O 2.20
68 Be 0.6250 0.2500 0.3750  8 Y 2.96-3.00
69 Y 0.6164 0.0217 0.2068  1 O 2.20
70 Y 0.0904 0.1851 0.2068  1 O 2.20
71 Y 0.6164 0.5948 0.9096  1 O 2.20
72 Y 0.5904 0.7068 0.6851  1 O 2.20
73 Y 0.2932 0.8836 0.9783  1 O 2.20
74 Y 0.1164 0.7068 0.5217  1 O 2.20
75 O 0.8750 0.6250 0.7500  4 Y 2.20
76 Y 0.4096 0.2932 0.3149  1 O 2.20
77 O 0.6250 0.8750 0.2500  4 Y 2.20
78 Be 0.7500 0.3750 0.1250  8 Y 2.96-3.00
79 Y 0.9096 0.0948 0.6164  1 O 2.20
80 Y 0.7932 0.4783 0.3836  1 O 2.20

=====

YbBeO3: optimized geometry, PBE.

## Properties
Its space group is Pm-3m (221). As for the crystal system: cubic. The calculation puts the uncorrected energy at -6.125 eV/atom.

Cell lengths 3.5805, 3.5805, 3.5805 Å; angles 90.00, 90.00, 90.00 degrees
With the nearest neighbours (Å) after each atom.
Atoms (fractional coordinates):
1 O 0.0000 0.5000 0.5000  2 Be 1.79
2 Yb 0.0000 0.0000 0.0000  12 O 2.53
3 Be 0.5000 0.5000 0.5000  6 O 1.79
4 O 0.5000 0.0000 0.5000  2 Be 1.79
5 O 0.5000 0.5000 0.0000  2 Be 1.79

=====

Be2ZnO: optimized geometry, PBE.

## Properties
Its space group is I-42d (122). As for the crystal system: tetragonal. The calculation puts the uncorrected energy at -4.309 eV/atom.

Cell lengths 4.9471, 4.9471, 4.8863 Å; angles 59.59, 59.59, 90.00 degrees
With the nearest neighbours (Å) after each atom.
Atoms (fractional coordinates):
1 Be 0.3750 0.4947 0.7500  2 O 1.63
2 Zn 0.7500 0.2500 0.5000  4 Be 2.37
3 Be 0.5053 0.1250 0.2500  2 O 1.63
4 Be 0.2447 0.6250 0.2500  2 O 1.63
5 Zn 0.0000 0.0000 0.0000  4 Be 2.37
6 O 0.5000 0.5000 0.0000  4 Be 1.63
7 Be 0.8750 0.7553 0.7500  2 O 1.63
8 O 0.2500 0.7500 0.5000  4 Be 1.63